(1)
Compound: Ta2CrMo
Source: the Alexandria database
Functional: PBE
Structure: relaxed

Properties
energy: -11.0090 eV per atom
DFT formation energy: 31 meV/atom
total magnetic moment: 0.000 μB/atom
crystal system: monoclinic

Cell: 2.832 4.351 5.286 Å, 90.00 99.40 90.00°
Space group P2/m (No. 10)
Symmetry-distinct sites (fractional):
Ta (0.247, 0.000, 0.255) [2 per cell]
Cr (0.000, 0.500, 0.500) [1 per cell]
Mo (0.500, 0.500, 0.000) [1 per cell]

***

(2)
Compound: NpAl3Ga3
Source: the Alexandria database
Functional: PBE
Structure: relaxed

Properties
energy above the most stable polymorph in this dataset: 0.0000 eV/atom
energy: -4.7280 eV per atom
DFT formation energy: 22 meV/atom
total magnetic moment: 0.670 μB/atom
crystal system: cubic

Cell: 8.102 8.102 8.102 Å, 90.00 90.00 90.00°
Space group P2_13 (No. 198)
Symmetry-distinct sites (fractional):
Np (0.022, 0.478, 0.522) [4 per cell]
Al (0.130, 0.630, 0.870) [4 per cell]
Al (0.142, 0.858, 0.358) [4 per cell]
Al (0.187, 0.187, 0.187) [4 per cell]
Ga (0.065, 0.315, 0.870) [12 per cell]

***

(3)
Compound: In2OsAu
Source: the Alexandria database
Functional: PBE
Structure: relaxed

Properties
energy: -4.5213 eV per atom
DFT formation energy: 475 meV/atom
total magnetic moment: 0.000 μB/atom
crystal system: tetragonal

Cell: 3.056 3.056 8.494 Å, 90.00 90.00 90.00°
Space group P4mm (No. 99)
Symmetry-distinct sites (fractional):
In (0.000, 0.000, 0.000) [1 per cell]
In (0.500, 0.500, 0.324) [1 per cell]
Os (0.000, 0.000, 0.535) [1 per cell]
Au (0.500, 0.500, 0.752) [1 per cell]